Record 1
The following is a PBE calculation of Ta2VGa after structural relaxation, from the Alexandria database.

abc: 2.8509 5.3548 9.0495
angles: 90.00 90.00 105.44
Last column: nearest neighbours and their distance in Å.
Atoms (fractional coordinates):
Ta 0.3739 0.7479 0.5176  3 Ta 2.62-2.85, 3 Ga 2.78-2.81
Ta 0.6261 0.2521 0.4824  3 Ta 2.62-2.85, 3 Ga 2.78-2.81
Ta 0.6261 0.2521 0.0176  3 Ta 2.62-2.85, 3 Ga 2.78-2.81
Ta 0.3739 0.7479 0.9824  3 Ta 2.62-2.85, 3 Ga 2.78-2.81
V 0.9696 0.9392 0.2500  3 Ga 2.75-2.81, 2 V 2.85, 8 Ta 2.98-3.01
V 0.0304 0.0608 0.7500  3 Ga 2.75-2.81, 2 V 2.85, 8 Ta 2.98-3.01
Ga 0.2416 0.4833 0.2500  3 V 2.75-2.81, 6 Ta 2.78-2.81, 2 Ga 2.85
Ga 0.7584 0.5167 0.7500  3 V 2.75-2.81, 6 Ta 2.78-2.81, 2 Ga 2.85

Calculated values
energy: -71.4 eV for the cell shown
magnetic moment: 0.176 μB per atom
crystal system: orthorhombic
formation energy from the elements: 35 meV per atom
V: 133.16 Å³/cell

---

Record 2
The following is a PBE calculation of TaVGa2 after structural relaxation, from the Alexandria database.

abc: 4.0748 3.8823 3.8823
angles: 90.00 90.00 90.00
Last column: nearest neighbours and their distance in Å.
Atoms (fractional coordinates):
V 0.5000 0.5000 0.5000  4 Ta 2.75, 8 Ga 2.81
Ga 0.0000 0.0000 0.5000  4 Ga 2.75, 4 Ta 2.81, 4 V 2.81
Ga 0.0000 0.5000 0.0000  4 Ga 2.75, 4 Ta 2.81, 4 V 2.81
Ta 0.5000 0.0000 0.0000  4 V 2.75, 8 Ga 2.81

Calculated values
energy: -27.6 eV for the cell shown
magnetic moment: 0.000 μB per atom
crystal system: tetragonal
formation energy from the elements: -138 meV per atom
V: 61.42 Å³/cell
polymorph energy (0 for the lowest one): 0.000 eV per atom

---

Record 3
The following is a PBE calculation of TaV3Ga3 after structural relaxation, from the Alexandria database.

abc: 7.1559 7.1559 6.6810
angles: 57.62 57.62 60.00
Last column: nearest neighbours and their distance in Å.
Atoms (fractional coordinates):
Ta 0.3302 0.3302 0.0095  6 V 2.67-2.73, 6 Ga 2.89-2.91
Ta 0.6698 0.6698 0.9905  6 V 2.67-2.73, 6 Ga 2.89-2.91
V 0.2309 0.6757 0.1344  2 V 2.44, 4 Ga 2.65-2.70, 1 Ta 2.67
V 0.9589 0.2309 0.1344  2 V 2.44, 4 Ga 2.65-2.70, 1 Ta 2.67
V 0.6757 0.9589 0.1344  2 V 2.44, 4 Ga 2.65-2.70, 1 Ta 2.67
V 0.3243 0.0411 0.8656  2 V 2.44, 4 Ga 2.65-2.70, 1 Ta 2.67
V 0.0411 0.7691 0.8656  2 V 2.44, 4 Ga 2.65-2.70, 1 Ta 2.67
V 0.7691 0.3243 0.8656  2 V 2.44, 4 Ga 2.65-2.70, 1 Ta 2.67
Ga 0.4936 0.7350 0.6498  5 V 2.65-2.74, 2 Ga 2.71, 2 Ta 2.89-2.91
Ga 0.7350 0.1217 0.6498  5 V 2.65-2.74, 2 Ga 2.71, 2 Ta 2.89-2.91
Ga 0.1217 0.4936 0.6498  5 V 2.65-2.74, 2 Ga 2.71, 2 Ta 2.89-2.91
Ga 0.8783 0.5064 0.3502  5 V 2.65-2.74, 2 Ga 2.71, 2 Ta 2.89-2.91
Ga 0.2650 0.8783 0.3502  5 V 2.65-2.74, 2 Ga 2.71, 2 Ta 2.89-2.91
Ga 0.5064 0.2650 0.3502  5 V 2.65-2.74, 2 Ga 2.71, 2 Ta 2.89-2.91

Calculated values
energy: -95.0 eV for the cell shown
magnetic moment: 0.000 μB per atom
crystal system: trigonal
formation energy from the elements: 112 meV per atom
V: 232.83 Å³/cell